No. 1
Material: Tb3Ce2SmSe6
Method: DFT, GGA-PBE
State: relaxed

```
data_Tb3Ce2SmSe6
_cell_length_a 7.1391
_cell_length_b 12.3861
_cell_length_c 7.2311
_cell_angle_alpha 90.00
_cell_angle_beta 109.27
_cell_angle_gamma 90.00
_space_group_name_H-M_alt 'C 1 2/m 1'
_space_group_IT_number 12
_space_group_name_Hall '-C 2y'
loop_
_atom_site_label
_atom_site_type_symbol
_atom_site_fract_x
_atom_site_fract_y
_atom_site_fract_z
_atom_site_occupancy
Tb1 Tb 0.0000 0.0000 0.0000 1
Tb2 Tb 0.0000 0.3351 0.0000 1
Ce1 Ce 0.0000 0.1664 0.5000 1
Sm1 Sm 0.0000 0.5000 0.5000 1
Se1 Se 0.2472 0.1664 0.2407 1
Se2 Se 0.2468 0.5000 0.2420 1
```

Calculated values
Energy ... -6.088 eV/atom
Magnetic moment ... 0.159 μB per atom
E_form (uncorrected) ... -1.8064 eV/atom

No. 2
Material: TlHSe2
Method: DFT, GGA-PBE
State: relaxed

```
data_TlHSe2
_cell_length_a 6.8956
_cell_length_b 6.8956
_cell_length_c 6.8956
_cell_angle_alpha 90.00
_cell_angle_beta 90.00
_cell_angle_gamma 90.00
_space_group_name_H-M_alt 'F m -3 m'
_space_group_IT_number 225
_space_group_name_Hall '-F 4 2 3'
loop_
_atom_site_label
_atom_site_type_symbol
_atom_site_fract_x
_atom_site_fract_y
_atom_site_fract_z
_atom_site_occupancy
Tl1 Tl 0.0000 0.0000 0.0000 1
H1 H 0.0000 0.0000 0.5000 1
Se1 Se 0.2500 0.2500 0.2500 1
```

Calculated values
Energy ... -2.440 eV/atom
Magnetic moment ... 0.133 μB per atom

No. 3
Material: ZrAgSeBr2
Method: DFT, GGA-PBE
State: relaxed

```
data_ZrAgSeBr2
_cell_length_a 4.8760
_cell_length_b 4.8760
_cell_length_c 6.2652
_cell_angle_alpha 90.00
_cell_angle_beta 90.00
_cell_angle_gamma 90.00
_space_group_name_H-M_alt 'P 4/m m m'
_space_group_IT_number 123
_space_group_name_Hall '-P 4 2'
loop_
_atom_site_label
_atom_site_type_symbol
_atom_site_fract_x
_atom_site_fract_y
_atom_site_fract_z
_atom_site_occupancy
Zr1 Zr 0.0000 0.0000 0.0000 1
Ag1 Ag 0.0000 0.0000 0.5000 1
Se1 Se 0.5000 0.5000 0.0000 1
Br1 Br 0.0000 0.5000 0.5000 1
```

Calculated values
Energy ... -3.206 eV/atom
Magnetic moment ... 0.248 μB per atom
E_form (uncorrected) ... 0.4401 eV/atom

No. 4
Material: BaTcIr
Method: DFT, GGA-PBE
State: relaxed

```
data_BaTcIr
_cell_length_a 11.3646
_cell_length_b 4.3020
_cell_length_c 6.3988
_cell_angle_alpha 90.00
_cell_angle_beta 96.53
_cell_angle_gamma 90.00
_space_group_name_H-M_alt 'C 1 2/m 1'
_space_group_IT_number 12
_space_group_name_Hall '-C 2y'
loop_
_atom_site_label
_atom_site_type_symbol
_atom_site_fract_x
_atom_site_fract_y
_atom_site_fract_z
_atom_site_occupancy
Ba1 Ba 0.1212 0.0000 0.3510 1
Tc1 Tc 0.0836 0.5000 0.9038 1
Ir1 Ir 0.1917 0.0000 0.8953 1
```

Calculated values
Energy ... -6.882 eV/atom
Magnetic moment ... 0.000 μB per atom

No. 5
Material: Tm5SbAs4
Method: DFT, GGA-PBE
State: relaxed

```
data_Tm5SbAs4
_cell_length_a 13.6755
_cell_length_b 4.1058
_cell_length_c 10.1193
_cell_angle_alpha 90.00
_cell_angle_beta 119.60
_cell_angle_gamma 90.00
_space_group_name_H-M_alt 'C 1 2/m 1'
_space_group_IT_number 12
_space_group_name_Hall '-C 2y'
loop_
_atom_site_label
_atom_site_type_symbol
_atom_site_fract_x
_atom_site_fract_y
_atom_site_fract_z
_atom_site_occupancy
Tm1 Tm 0.0000 0.0000 0.0000 1
Tm2 Tm 0.1067 0.5000 0.3928 1
Tm3 Tm 0.2047 0.0000 0.8107 1
Sb1 Sb 0.0000 0.0000 0.5000 1
As1 As 0.0980 0.5000 0.8990 1
As2 As 0.2020 0.0000 0.2965 1
```

Calculated values
Energy ... -5.909 eV/atom
Magnetic moment ... 0.000 μB per atom
E_form (uncorrected) ... -1.4016 eV/atom

No. 6
Material: TaBeAg
Method: DFT, GGA-PBE
State: relaxed

```
data_TaBeAg
_cell_length_a 2.7853
_cell_length_b 4.6997
_cell_length_c 6.9325
_cell_angle_alpha 90.00
_cell_angle_beta 99.89
_cell_angle_gamma 90.00
_space_group_name_H-M_alt 'P 1 21 1'
_space_group_IT_number 4
_space_group_name_Hall 'P 2yb'
loop_
_atom_site_label
_atom_site_type_symbol
_atom_site_fract_x
_atom_site_fract_y
_atom_site_fract_z
_atom_site_occupancy
Ta1 Ta 0.1580 0.0000 0.1162 1
Be1 Be 0.4186 0.9981 0.7935 1
Ag1 Ag 0.2344 0.6626 0.5004 1
```

Calculated values
Energy ... -5.952 eV/atom
Magnetic moment ... 0.000 μB per atom